Entry 1:
First-principles (PBE) data for a geometry-optimized BaSrY4Cu2O10 structure, as listed in Alexandria.

abc: 5.6834 7.2313 12.1881
angles: 90.00 90.00 90.00
Closest atoms and distances in Å follow each position.
Space group Pmc2_1 (No. 26)
Symmetry-distinct sites (fractional):
Ba1 0.0000 0.1832 0.0000  3 O 2.58-2.84
Sr1 0.5000 0.3284 0.1855  1 O 2.52
Y1 0.0000 0.3554 0.6689  7 O 2.30-2.37
Y2 0.0000 0.3615 0.3812  7 O 2.30-2.38
Y3 0.5000 0.1361 0.8075  7 O 2.31-2.37
Y4 0.5000 0.1455 0.5214  7 O 2.30-2.39
Cu1 0.0000 0.0320 0.2549  4 O 1.99-2.03
Cu2 0.5000 0.4700 0.9329  4 O 1.98-2.01
O1 0.0000 0.3299 0.1933  1 Cu 2.28, 2 Y 2.30
O2 0.2432 0.0895 0.6629  1 Cu 1.99
O3 0.2481 0.1049 0.3664  1 Cu 2.03
O4 0.2572 0.4005 0.8201  1 Cu 2.01
O5 0.2575 0.4148 0.5278  1 Cu 1.98
O6 0.5000 0.1719 0.0007  2 Y 2.31-2.37, 1 Cu 2.31, 1 Sr 2.52

Results
ΔE_f (raw) = -2.665 eV/atom
Size of the total moment = 0.110 μB/atom


Entry 2:
First-principles (PBE) data for a geometry-optimized Ba2Sr2Y2Cu6O13 structure, as listed in Alexandria.

abc: 7.6485 7.8053 23.6216
angles: 90.00 90.00 90.00
Closest atoms and distances in Å follow each position.
Space group Fmm2 (No. 42)
Symmetry-distinct sites (fractional):
Ba1 0.2438 0.0000 0.0000  8 O 2.73-3.02
Sr1 0.2441 0.0000 0.8075  7 O 2.61-2.90
Y1 0.2499 0.0000 0.1577  8 O 2.36-2.46
Cu1 0.0000 0.2422 0.9009  3 O 1.82-1.91
Cu2 0.0000 0.2482 0.2285  4 O 1.92-1.97
Cu3 0.0000 0.2492 0.5897  4 O 1.92-1.96
O1 0.0000 0.0000 0.0941  2 Cu 1.96
O2 0.0000 0.0000 0.2167  2 Cu 1.96
O3 0.0000 0.0000 0.5973  2 Cu 1.95
O4 0.0000 0.0000 0.7230  2 Cu 1.97
O5 0.0000 0.0000 0.8906  2 Cu 1.91
O6 0.0000 0.2154 0.3250  1 Cu 1.82
O7 0.0000 0.2335 0.4780  1 Cu 1.83
O8 0.2500 0.2500 0.0965  2 Cu 1.92
O9 0.2500 0.2500 0.2191  2 Cu 1.92

Results
ΔE_f (raw) = -1.850 eV/atom
Size of the total moment = 0.000 μB/atom


Entry 3:
First-principles (PBE) data for a geometry-optimized BaTaCuO5 structure, as listed in Alexandria.

abc: 7.0924 9.7355 7.6020
angles: 90.00 112.84 90.00
Closest atoms and distances in Å follow each position.
Space group C2/c (No. 15)
Symmetry-distinct sites (fractional):
Ba1 0.0000 0.1694 0.2500  7 O 2.67-2.81
Ta1 0.0000 0.5000 0.0000  6 O 1.98-2.02
Cu1 0.0000 0.1845 0.7500  4 O 1.92-1.93
O1 0.0000 0.4436 0.2500  2 Ta 1.98
O2 0.0842 0.3077 0.5973  1 Cu 1.92, 1 Ta 2.02
O3 0.2062 0.0588 0.9095  1 Cu 1.93, 1 Ta 2.01

Results
Energy above the most stable polymorph in this dataset = 0.0000 eV per atom
ΔE_f (raw) = -2.075 eV/atom
Size of the total moment = 0.254 μB/atom


Entry 4:
First-principles (PBE) data for a geometry-optimized BaTaCuO5 structure, as listed in Alexandria.

abc: 3.8063 3.8063 9.4690
angles: 90.00 90.00 90.00
Closest atoms and distances in Å follow each position.
Space group P4mm (No. 99)
Symmetry-distinct sites (fractional):
Ba1 0.0000 0.0000 0.0000  8 O 2.67-2.89
Ta1 0.5000 0.5000 0.6923  5 O 1.86-1.95
Cu1 0.5000 0.5000 0.2371  4 O 1.94
O1 0.0000 0.5000 0.1985  2 Cu 1.94
O2 0.0000 0.5000 0.6494  2 Ta 1.95
O3 0.5000 0.5000 0.8892  1 Ta 1.86

Results
Energy above the most stable polymorph in this dataset = 0.1008 eV per atom
ΔE_f (raw) = -1.975 eV/atom
Size of the total moment = 0.023 μB/atom


What did we get for calculated total energy? Answer: -7.511; -6.217; -7.408; -7.307 eV/atom, in the order shown.